Entry 1:
Compound: Tb6Te3Rh2Au
Source: Alexandria via LeMat-Bulk
Functional: PBE
Structure: relaxed

Properties
- Space group: No. 12
- Size of the total moment: 0.0 μB/cell
- VASP energy: -5.66 eV per atom
- Formation energy without anion corrections: -12.68 eV/f.u.
- Volume: 329.9 Å³/f.u.

Unit cell a=7.205 b=7.205 c=7.712 alpha=98.95 beta=98.95 gamma=119.91
Sites, in units of the cell vectors:
Tb: 0.075 0.428 0.786
Tb: 0.217 0.217 0.209
Tb: 0.428 0.075 0.786
Tb: 0.572 0.925 0.214
Tb: 0.783 0.783 0.791
Tb: 0.925 0.572 0.214
Te: 0.000 0.000 0.500
Te: 0.339 0.661 0.500
Te: 0.661 0.339 0.500
Rh: 0.168 0.832 0.000
Rh: 0.832 0.168 0.000
Au: 0.500 0.500 0.000

---

Entry 2:
Compound: TbYRhAu
Source: Alexandria via LeMat-Bulk
Functional: PBE
Structure: relaxed

Properties
- Energy of formation: -0.82 eV/atom
- Space group: No. 216
- Size of the total moment: 0.0 μB/cell
- VASP energy: -6.25 eV per atom
- Volume: 88.0 Å³/f.u.

Unit cell a=4.994 b=4.994 c=4.994 alpha=60.00 beta=60.00 gamma=60.00
Sites, in units of the cell vectors:
Tb: 0.000 0.000 0.000
Y: 0.500 0.500 0.500
Rh: 0.750 0.750 0.750
Au: 0.250 0.250 0.250

---

Entry 3:
Compound: TbYRhAu
Source: Alexandria via LeMat-Bulk
Functional: PBE
Structure: relaxed

Properties
- Energy of formation: -0.85 eV/atom
- Space group: No. 38
- Size of the total moment: 0.0 μB/cell
- VASP energy: -6.28 eV per atom
- Volume: 91.3 Å³/f.u.

Unit cell a=4.520 b=5.640 c=5.640 alpha=39.44 beta=90.00 gamma=90.00
Sites, in units of the cell vectors:
Tb: 0.000 0.000 0.000
Y: 0.500 0.279 0.279
Rh: 0.500 0.546 0.546
Au: 0.000 0.720 0.720

---

Entry 4:
Compound: TbZrRhAu
Source: Alexandria via LeMat-Bulk
Functional: PBE
Structure: relaxed

Properties
- Energy of formation: -0.65 eV/atom
- Space group: No. 216
- Size of the total moment: 0.0 μB/cell
- VASP energy: -6.60 eV per atom
- Volume: 81.9 Å³/f.u.

Unit cell a=4.875 b=4.875 c=4.875 alpha=60.00 beta=60.00 gamma=60.00
Sites, in units of the cell vectors:
Tb: 0.000 0.000 0.000
Zr: 0.500 0.500 0.500
Rh: 0.250 0.250 0.250
Au: 0.750 0.750 0.750